Record 1
A geometry-optimized RbGeSbI2 structure, computed with PBE.

Computed properties:
Distance to the lowest polymorph of the same formula   0 meV per atom
Calculated total energy   -2.851 eV per atom
SG   P4/mmm
Volume   41.75 A^3/atom

Unit cell a=6.068 b=6.068 c=5.669 alpha=90.00 beta=90.00 gamma=90.00
Site moments in Bohr magnetons follow the coordinates.
Atoms (fractional coordinates):
Rb  0.500  0.500  0.500  0.01
I  0.000  0.500  0.000  0.08
I  0.500  0.000  0.000  0.08
Ge  0.000  0.000  0.000  -0.03
Sb  0.000  0.000  0.500  0.54

=====

Record 2
A geometry-optimized Dy2TmNbN4 structure, computed with PBE.

Computed properties:
Calculated total energy   -8.686 eV per atom
SG   P2/m
Volume   13.28 A^3/atom

Unit cell a=3.339 b=5.798 c=5.809 alpha=109.14 beta=90.00 gamma=90.00
Atoms (fractional coordinates):
N  0.500  0.764  0.768
Dy  0.000  0.500  0.500
Tm  0.500  0.500  0.000
N  0.000  0.242  0.765
N  0.500  0.236  0.232
N  0.000  0.758  0.235
Dy  0.500  0.000  0.500
Nb  0.000  0.000  0.000

=====

Record 3
A geometry-optimized BaCa2Tl structure, computed with PBE.

Computed properties:
Distance to the lowest polymorph of the same formula   127 meV per atom
Calculated total energy   -2.198 eV per atom
SG   P2/m
E_form   -0.13 eV/atom
Volume   40.51 A^3/atom

Unit cell a=5.484 b=4.088 c=7.532 alpha=73.65 beta=90.00 gamma=90.00
Atoms (fractional coordinates):
Tl  0.500  0.250  0.250
Ba  0.500  0.750  0.750
Ca  0.000  0.089  0.040
Ca  0.000  0.411  0.460

=====

Record 4
A geometry-optimized RbAuI3 structure, computed with PBE.

Computed properties:
Calculated total energy   -2.139 eV per atom
SG   I-4m2
Volume   58.75 A^3/atom

Unit cell a=5.910 b=5.910 c=17.335 alpha=80.19 beta=80.19 gamma=90.00
Atoms (fractional coordinates):
Rb  0.250  0.750  0.500
I  0.096  0.845  0.808
I  0.096  0.347  0.808
I  0.653  0.904  0.192
I  0.305  0.305  0.389
Au  0.791  0.291  0.419
I  0.695  0.695  0.611
Au  0.709  0.209  0.581
I  0.155  0.904  0.192
Rb  0.000  0.000  0.000